First-principles (GGA+U) data for NiMoO2 after structural relaxation, as listed in Alexandria via LeMat-Bulk.

Computed properties:
- ΔE to the lowest computed polymorph (kJ/mol of atoms) = 52.2
- spin magnetization (μB/cell) = 2.00

Cell: 3.8273 3.8273 3.8273 Å, 60.00 60.00 60.00°
Last column: nearest neighbours and their distance in Å.
Fractional coordinates of all 4 atoms:
Mo 0.5000 0.5000 0.5000  8 O 2.34
Ni 0.0000 0.0000 0.0000  8 O 2.34
O 0.7500 0.7500 0.7500  4 Mo 2.34, 4 Ni 2.34
O 0.2500 0.2500 0.2500  4 Mo 2.34, 4 Ni 2.34